# 1
A relaxed structure of NbP2ClF. Source: Alexandria, functional GGA-PBE.

Unit cell a=4.8247 b=4.8247 c=4.8171 alpha=90.00 beta=90.00 gamma=90.00
Fractional positions:
1 Nb 0.0000 0.0000 0.0000
2 P 0.0000 0.5000 0.0000
3 P 0.5000 0.0000 0.0000
4 Cl 0.0000 0.0000 0.5000
5 F 0.5000 0.5000 0.5000

Values from the calculation:
The value obtained for the uncorrected energy is -24.88 eV for the cell shown. The energy above the most stable polymorph in this dataset comes out at 0 meV per atom. The calculation puts the uncorrected formation energy at -0.273 eV/f.u.


# 2
A relaxed structure of CeNiGe2Rh5. Source: Alexandria, functional GGA-PBE.

Unit cell a=4.5691 b=4.5691 c=7.3250 alpha=90.00 beta=90.00 gamma=90.00
Fractional positions:
1 Ce 0.0000 0.0000 0.0000
2 Ni 0.0000 0.0000 0.5000
3 Ge 0.5000 0.5000 0.3361
4 Ge 0.5000 0.5000 0.6639
5 Rh 0.0000 0.5000 0.2655
6 Rh 0.0000 0.5000 0.7345
7 Rh 0.5000 0.0000 0.2655
8 Rh 0.5000 0.0000 0.7345
9 Rh 0.5000 0.5000 0.0000

Values from the calculation:
The value obtained for the uncorrected energy is -59.03 eV for the cell shown.


# 3
A relaxed structure of DyEr2Zr. Source: Alexandria, functional GGA-PBE.

Unit cell a=3.9910 b=3.9910 c=7.1978 alpha=90.00 beta=90.00 gamma=90.00
Fractional positions:
1 Dy 0.0000 0.0000 0.0000
2 Er 0.5000 0.5000 0.2738
3 Er 0.5000 0.5000 0.7262
4 Zr 0.0000 0.0000 0.5000

Values from the calculation:
The value obtained for the uncorrected energy is -21.61 eV for the cell shown. The energy above the most stable polymorph in this dataset comes out at 113 meV per atom.


| no. | volume (A^3/atom) |
| --- | --- |
| 1 | 22.4 |
| 2 | 17.0 |
| 3 | 28.7 |